Entry from Alexandria via LeMat-Bulk: KCu2Ir after structural relaxation (PBE).

Geometry as POSCAR:
```
KCu2Ir
1.0
2.658 0.000 0.000
0.000 3.947 0.000
0.000 0.000 7.093
Cu Ir K
2 1 1
direct
0.000 0.000 0.417 Cu
0.000 0.000 0.083 Cu
0.500 0.500 0.250 Ir
0.500 0.500 0.750 K
```

- DFT formation energy (meV/atom) = 415.3
- polymorph energy (0 for the lowest one) (meV per atom) = 84.5
- electronic total energy (eV per atom) = -4.1224
- crystal system = orthorhombic
- calculated volume (A^3/atom) = 18.602

Entry from Alexandria via LeMat-Bulk: BeHSe after structural relaxation (PBE).

Geometry as POSCAR:
```
BeHSe
1.0
7.489 0.000 -0.007
0.000 3.663 0.000
-0.500 0.000 6.301
H Se Be
4 4 4
direct
0.126 0.892 0.649 H
0.126 0.392 0.149 H
0.126 0.608 0.149 H
0.126 0.108 0.649 H
0.830 0.000 0.959 Se
0.830 0.500 0.459 Se
0.420 0.500 0.756 Se
0.420 0.000 0.256 Se
0.913 0.000 0.633 Be
0.508 0.500 0.431 Be
0.913 0.500 0.133 Be
0.508 0.000 0.931 Be
```

- polymorph energy (0 for the lowest one) (meV per atom) = 88.9
- electronic total energy (eV per atom) = -3.9343
- crystal system = monoclinic
- calculated volume (A^3/atom) = 14.405

Entry from Alexandria via LeMat-Bulk: K3TeH after structural relaxation (PBE).

Geometry as POSCAR:
```
K3TeH
1.0
8.607 0.002 -0.003
-0.366 5.380 0.002
2.307 0.688 7.054
Te K H
2 6 2
direct
0.100 0.999 0.480 Te
0.524 0.102 0.829 Te
0.091 0.035 0.986 K
0.772 0.629 0.889 K
0.312 0.551 0.655 K
0.533 0.067 0.323 K
0.851 0.472 0.420 K
0.312 0.551 0.155 K
0.038 0.524 0.020 H
0.586 0.578 0.289 H
```

- polymorph energy (0 for the lowest one) (meV per atom) = 50.2
- electronic total energy (eV per atom) = -2.6133
- crystal system = triclinic
- calculated volume (A^3/atom) = 32.669

Entry from Alexandria via LeMat-Bulk: TiCo2NiB after structural relaxation (PBE).

Geometry as POSCAR:
```
TiCo2NiB
1.0
-1.180 -3.611 0.239
0.926 -0.545 -3.651
3.503 -1.075 1.048
Co Ni Ti B
2 1 1 1
direct
0.000 0.500 0.000 Co
0.500 0.000 0.000 Co
0.000 0.000 0.500 Ni
0.500 0.500 0.500 Ti
0.000 0.000 0.000 B
```

- DFT formation energy (meV/atom) = -265.9
- electronic total energy (eV per atom) = -7.1790
- crystal system = tetragonal
- calculated volume (A^3/atom) = 11.042

Entry from Alexandria via LeMat-Bulk: Ce2Rh2Au after structural relaxation (PBE).

Geometry as POSCAR:
```
Ce2Rh2Au
1.0
-0.388 0.701 -3.604
-6.558 -3.711 -0.016
-3.626 6.400 1.635
Ce Rh Au
4 4 2
direct
0.500 0.174 0.674 Ce
0.500 0.674 0.826 Ce
0.500 0.826 0.326 Ce
0.500 0.326 0.174 Ce
0.000 0.635 0.135 Rh
0.000 0.865 0.635 Rh
0.000 0.365 0.865 Rh
0.000 0.135 0.365 Rh
0.000 0.000 0.000 Au
0.000 0.500 0.500 Au
```

- DFT formation energy (meV/atom) = -774.8
- electronic total energy (eV per atom) = -6.7444
- crystal system = tetragonal
- calculated volume (A^3/atom) = 20.962

Entry from Alexandria via LeMat-Bulk: Sr2BiAs3Pt4 after structural relaxation (PBE).

Geometry as POSCAR:
```
Sr2BiAs3Pt4
1.0
-2.510 -3.268 1.863
-1.844 -0.882 -4.033
7.754 -7.092 -1.994
Bi Pt As Sr
1 4 3 2
direct
0.500 0.500 0.500 Bi
0.000 0.000 0.000 Pt
0.500 0.500 0.000 Pt
0.000 0.500 0.350 Pt
0.500 0.000 0.650 Pt
0.000 0.000 0.500 As
0.000 0.500 0.121 As
0.500 0.000 0.879 As
0.000 0.500 0.766 Sr
0.500 0.000 0.234 Sr
```

- DFT formation energy (meV/atom) = -688.3
- electronic total energy (eV per atom) = -5.2239
- crystal system = tetragonal
- calculated volume (A^3/atom) = 21.870

Entry from Alexandria via LeMat-Bulk: La4CdPb after structural relaxation (PBE).

Geometry as POSCAR:
```
La4CdPb
1.0
3.819 -5.252 0.887
2.919 -0.991 5.784
-1.998 -4.886 3.884
La Cd Pb
4 1 1
direct
0.377 0.377 0.377 La
0.870 0.377 0.377 La
0.377 0.870 0.377 La
0.377 0.377 0.870 La
0.000 0.000 0.000 Cd
0.750 0.750 0.750 Pb
```

- DFT formation energy (meV/atom) = 81.3
- polymorph energy (0 for the lowest one) (meV per atom) = 233.0
- electronic total energy (eV per atom) = -3.9742
- crystal system = cubic
- calculated volume (A^3/atom) = 33.176

Entry from Alexandria via LeMat-Bulk: ErAl2Au3 after structural relaxation (PBE).

Geometry as POSCAR:
```
ErAl2Au3
1.0
-2.074 -1.786 3.202
7.760 -4.010 0.019
0.922 8.725 5.462
Au Al Er
9 6 3
direct
0.387 0.774 0.824 Au
0.960 0.920 0.668 Au
0.326 0.652 0.049 Au
0.613 0.226 0.176 Au
0.777 0.554 0.620 Au
0.500 0.000 0.500 Au
0.223 0.446 0.380 Au
0.040 0.080 0.332 Au
0.674 0.348 0.951 Au
0.465 0.930 0.225 Al
0.535 0.070 0.775 Al
0.362 0.724 0.558 Al
0.638 0.276 0.442 Al
0.800 0.601 0.876 Al
0.200 0.399 0.124 Al
0.000 0.000 0.000 Er
0.846 0.692 0.311 Er
0.154 0.308 0.689 Er
```

- DFT formation energy (meV/atom) = -597.1
- polymorph energy (0 for the lowest one) (meV per atom) = 0.0
- electronic total energy (eV per atom) = -4.2438
- crystal system = monoclinic
- calculated volume (A^3/atom) = 19.448